(1)
A geometry-optimized BaSrZrNbO6 structure, computed with PBE.

Results
The total energy is -8.16 eV/atom. The value obtained for the energy relative to the elements, uncorrected is -29.62 eV per formula unit.

Cell: 5.903 5.903 5.903 Å, 60.00 60.00 60.00°
Fractional positions:
Ba 0.000 0.000 0.000
Sr 0.500 0.500 0.500
Zr 0.750 0.750 0.750
Nb 0.250 0.250 0.250
O 0.004 0.004 0.496
O 0.004 0.496 0.004
O 0.004 0.496 0.496
O 0.496 0.004 0.004
O 0.496 0.004 0.496
O 0.496 0.496 0.004

***

(2)
A geometry-optimized Y2PuUP4 structure, computed with PBE.

Results
The total energy is -8.87 eV/atom. The calculated formation energy is -1.351 eV/atom.

Cell: 6.900 3.980 6.907 Å, 90.00 109.36 90.00°
Fractional positions:
Y 0.000 0.000 0.000
Y 0.500 0.500 0.000
Pu 0.000 0.500 0.500
U 0.500 0.000 0.500
P 0.251 0.000 0.743
P 0.255 0.500 0.257
P 0.745 0.500 0.743
P 0.749 0.000 0.257

***

(3)
A geometry-optimized LiCaTl2Ni structure, computed with PBE.

Results
The total energy is -2.95 eV/atom. The calculated formation energy is -0.069 eV/atom.

Cell: 5.048 5.048 4.792 Å, 90.00 90.00 90.00°
Fractional positions:
Li 0.000 0.000 0.000
Ca 0.500 0.500 0.000
Tl 0.000 0.500 0.500
Tl 0.500 0.000 0.500
Ni 0.000 0.000 0.500

***

(4)
A geometry-optimized RePOsCl2 structure, computed with PBE.

Results
The total energy is -5.03 eV/atom. The energy above the most stable polymorph in this dataset is 0.0976 eV per atom. The value obtained for the energy relative to the elements, uncorrected is 7.65 eV per formula unit.

Cell: 4.777 4.777 4.691 Å, 90.00 90.00 90.00°
Fractional positions:
Re 0.000 0.000 0.000
P 0.000 0.000 0.500
Os 0.500 0.500 0.500
Cl 0.000 0.500 0.000
Cl 0.500 0.000 0.000

***

(5)
A geometry-optimized EuYO2 structure, computed with PBE.

Results
The total energy is -8.91 eV/atom. The energy above the most stable polymorph in this dataset is 0.5675 eV per atom. The value obtained for the energy relative to the elements, uncorrected is -9.00 eV per formula unit.

Cell: 3.017 3.017 6.135 Å, 90.00 90.00 90.00°
Fractional positions:
Eu 0.000 0.000 0.000
Y 0.000 0.000 0.500
O 0.500 0.500 0.273
O 0.500 0.500 0.727

***

(6)
A geometry-optimized Cs2CrSeCl6 structure, computed with PBE.

Results
The total energy is -3.74 eV/atom. The value obtained for the energy relative to the elements, uncorrected is -11.48 eV per formula unit.

Cell: 7.481 7.481 7.481 Å, 115.90 115.90 97.25°
Fractional positions:
Cs 0.250 0.750 0.500
Cs 0.750 0.250 0.500
Cr 0.000 0.000 0.000
Se 0.500 0.500 0.000
Cl 0.210 0.210 0.420
Cl 0.210 0.790 0.000
Cl 0.255 0.255 0.000
Cl 0.745 0.745 0.000
Cl 0.790 0.210 0.000
Cl 0.790 0.790 0.580

***

(7)
A geometry-optimized ScSiAu2 structure, computed with PBE.

Results
The total energy is -4.94 eV/atom. The value obtained for the energy relative to the elements, uncorrected is -1.45 eV per formula unit.

Cell: 5.051 5.051 4.792 Å, 97.27 97.27 37.10°
Fractional positions:
Sc 0.000 0.000 0.000
Si 0.500 0.500 0.500
Au 0.264 0.264 0.756
Au 0.736 0.736 0.244

***

(8)
A geometry-optimized ZrBF2 structure, computed with PBE.

Results
The total energy is -5.56 eV/atom. The energy above the most stable polymorph in this dataset is 0.5382 eV per atom. The value obtained for the energy relative to the elements, uncorrected is -3.26 eV per formula unit.

Cell: 4.011 4.011 4.011 Å, 60.00 60.00 60.00°
Fractional positions:
Zr 0.000 0.000 0.000
B 0.500 0.500 0.500
F 0.250 0.250 0.250
F 0.750 0.750 0.750